First-principles (GGA-PBE) data for a relaxed CaSc2Zn crystal, as listed in Alexandria via LeMat-Bulk.

Cell and atoms, written as POSCAR:
```
CaSc2Zn
1.0
3.112 -5.510 0.000
3.112 5.510 0.000
-1.458 0.000 2.885
Ca Sc Zn
1 2 1
Cartesian
0.000 0.000 0.000
0.827 2.755 1.442
0.827 -2.755 1.442
3.112 0.000 0.000
```

Computed properties:
VASP energy = -0.2819 Ry per atom
Symmetry = C2/m
Energy of formation from the pure elements = 0.149 eV/atom